Version one
# NaCdF2 PBE-GGA optimized geometry
# total moment	0.0	μB/f.u.
data_NaCdF2
_cell_length_a 3.3293
_cell_length_b 3.3293
_cell_length_c 6.5392
_cell_angle_alpha 90.13
_cell_angle_beta 90.13
_cell_angle_gamma 60.63
_space_group_name_H-M_alt 'P 1'
_space_group_IT_number 1
loop_
_space_group_symop_operation_xyz
'x,y,z'
loop_
_atom_site_label
_atom_site_fract_x
_atom_site_fract_y
_atom_site_fract_z
_atom_site_occupancy
Na1 0.0000 0.0000 0.0000 1
Cd1 0.6611 0.6611 0.5206 1
F1 0.3321 0.3321 0.7699 1
F2 0.6653 0.6653 0.1726 1

***

Version two
# NaCdF2 PBE-GGA optimized geometry
# total moment	0.0	μB/f.u.
data_NaCdF2
_cell_length_a 4.3743
_cell_length_b 4.3743
_cell_length_c 4.3743
_cell_angle_alpha 60.00
_cell_angle_beta 60.00
_cell_angle_gamma 60.00
_space_group_name_H-M_alt 'P 1'
_space_group_IT_number 1
loop_
_space_group_symop_operation_xyz
'x,y,z'
loop_
_atom_site_label
_atom_site_fract_x
_atom_site_fract_y
_atom_site_fract_z
_atom_site_occupancy
Na1 0.0000 0.0000 0.0000 1
Cd1 0.5000 0.5000 0.5000 1
F1 0.2500 0.2500 0.2500 1
F2 0.7500 0.7500 0.7500 1

***

Version three
# NaCdF2 PBE-GGA optimized geometry
# total moment	0.0	μB/f.u.
data_NaCdF2
_cell_length_a 6.6668
_cell_length_b 6.6668
_cell_length_c 6.6668
_cell_angle_alpha 28.28
_cell_angle_beta 28.28
_cell_angle_gamma 28.28
_space_group_name_H-M_alt 'P 1'
_space_group_IT_number 1
loop_
_space_group_symop_operation_xyz
'x,y,z'
loop_
_atom_site_label
_atom_site_fract_x
_atom_site_fract_y
_atom_site_fract_z
_atom_site_occupancy
Na1 0.0000 0.0000 0.0000 1
Cd1 0.1683 0.1683 0.1683 1
F1 0.4057 0.4057 0.4057 1
F2 0.5964 0.5964 0.5964 1

***

The structures above, arranged from the most stable to the least stable: version one, version three, version two.